An optimized crystal structure of LaReTc, computed with PBE.

a b c (Å): 5.2648 6.0005 7.5648
angles (deg): 90.00 90.00 90.00
With the nearest neighbours (Å) after each atom.
Space group Imma (No. 74)
Unique sites:
La 0.0000 0.2500 0.1309 (multiplicity 4)  6 Re 3.17-3.40, 6 Tc 3.17-3.19, 2 La 3.19
Re 0.2500 0.2500 0.7500 (multiplicity 4)  2 Re 2.63, 4 Tc 2.75
Tc 0.0000 0.0000 0.5000 (multiplicity 4)  4 Re 2.75, 2 Tc 3.00

Output
* M_tot: 0.000 μB/cell
* offset from the most stable computed form: 0.00 eV per formula unit
* ΔH_f (0 K): 0.089 eV/atom
* energy: -9.16 eV per atom